## CsUAuSe4 (PBE)

Data for a relaxed structure of CsUAuSe4.

Structure (CIF):
```
data_CsUAuSe4
_cell_length_a 6.702
_cell_length_b 6.885
_cell_length_c 9.440
_cell_angle_alpha 90.00
_cell_angle_beta 96.77
_cell_angle_gamma 90.00
_space_group_name_H-M_alt 'P 1 21/m 1'
_space_group_IT_number 11
_space_group_name_Hall '-P 2yb'
loop_
_atom_site_label
_atom_site_type_symbol
_atom_site_fract_x
_atom_site_fract_y
_atom_site_fract_z
Cs1 Cs 0.226 0.250 0.030
U1 U 0.192 0.750 0.452
Au1 Au 0.329 0.250 0.630
Se1 Se 0.079 0.522 0.685
Se2 Se 0.337 0.750 0.196
Se3 Se 0.450 0.250 0.386
```

Values from the calculation:
Electronic total energy, eV/atom: -4.996
Energy relative to the elements, uncorrected, meV per atom: -802